Material: SiAg2Pb2
Method: DFT, PBE
State: relaxed

Calculated values
- SG = No. 127
- magnetic moment (μB/f.u.) = 0.00
- energy above the lowest structure with this stoichiometry (eV per atom) = 0.000
- formation energy from raw total energies (kcal/mol of atoms) = 5.93
- ρ (g cm⁻³) = 9.2
- DFT total energy (eV per atom) = -3.4511

Cell lengths 6.8730, 6.8730, 5.0245 Å; angles 90.00, 90.00, 90.00 degrees
Closest atoms and distances in Å follow each position.
Fractional coordinates of all 10 atoms:
Ag 0.1486 0.3514 0.0000  2 Si 2.62, 1 Ag 2.89
Ag 0.3514 0.8514 0.0000  2 Si 2.62, 1 Ag 2.89
Ag 0.8514 0.6486 0.0000  2 Si 2.62, 1 Ag 2.89
Ag 0.6486 0.1486 0.0000  2 Si 2.62, 1 Ag 2.89
Si 0.5000 0.5000 0.0000  4 Ag 2.62
Si 0.0000 0.0000 0.0000  4 Ag 2.62
Pb 0.3265 0.1735 0.5000  6 Ag 3.05-3.35, 1 Pb 3.37
Pb 0.8265 0.3265 0.5000  6 Ag 3.05-3.35, 1 Pb 3.37
Pb 0.1735 0.6735 0.5000  6 Ag 3.05-3.35, 1 Pb 3.37
Pb 0.6735 0.8265 0.5000  6 Ag 3.05-3.35, 1 Pb 3.37



Material: BeGaTe3
Method: DFT, PBE
State: relaxed

Calculated values
- SG = No. 221
- magnetic moment (μB/f.u.) = 0.00
- energy above the lowest structure with this stoichiometry (eV per atom) = 0.617
- formation energy from raw total energies (kcal/mol of atoms) = 20.17
- ρ (g cm⁻³) = 5.0
- DFT total energy (eV per atom) = -2.3609

Cell lengths 5.3500, 5.3500, 5.3500 Å; angles 90.00, 90.00, 90.00 degrees
Closest atoms and distances in Å follow each position.
Fractional coordinates of all 5 atoms:
Te 0.0000 0.5000 0.0000  2 Ga 2.67
Te 0.0000 0.0000 0.5000  2 Ga 2.67
Te 0.5000 0.0000 0.0000  2 Ga 2.67
Be 0.5000 0.5000 0.5000  12 Te 3.78
Ga 0.0000 0.0000 0.0000  6 Te 2.67



Material: AlPH
Method: DFT, PBE
State: relaxed

Calculated values
- SG = No. 12
- magnetic moment (μB/f.u.) = 0.00
- energy above the lowest structure with this stoichiometry (eV per atom) = 0.000
- ρ (g cm⁻³) = 2.0
- DFT total energy (eV per atom) = -4.3314

Cell lengths 5.1962, 5.1962, 5.8120 Å; angles 66.56, 66.56, 44.97 degrees
Closest atoms and distances in Å follow each position.
Fractional coordinates of all 6 atoms:
H 0.3926 0.3926 0.4537  1 Al 1.66
H 0.6074 0.6074 0.5463  1 Al 1.66
Al 0.6132 0.6132 0.2559  1 H 1.66
Al 0.3868 0.3868 0.7441  1 H 1.66
P 0.1015 0.1015 0.0399  1 P 2.19, 2 Al 2.38
P 0.8985 0.8985 0.9601  1 P 2.19, 2 Al 2.38



Material: Zr2TiO
Method: DFT, PBE
State: relaxed

Calculated values
- SG = No. 122
- magnetic moment (μB/f.u.) = 1.20
- formation energy from raw total energies (kcal/mol of atoms) = -18.67
- ρ (g cm⁻³) = 5.1
- DFT total energy (eV per atom) = -8.2968

Cell lengths 6.4684, 6.4684, 5.9591 Å; angles 57.13, 57.13, 90.00 degrees
Closest atoms and distances in Å follow each position.
Fractional coordinates of all 8 atoms:
Ti 0.0000 0.0000 0.0000  4 Zr 3.00
Ti 0.7500 0.2500 0.5000  4 Zr 3.00
Zr 0.8750 0.7633 0.7500  2 O 2.08
Zr 0.2367 0.6250 0.2500  2 O 2.08
Zr 0.3750 0.4867 0.7500  2 O 2.08
Zr 0.5133 0.1250 0.2500  2 O 2.08
O 0.5000 0.5000 0.0000  4 Zr 2.08
O 0.2500 0.7500 0.5000  4 Zr 2.08



Material: La6Co2PdI3
Method: DFT, PBE
State: relaxed

Calculated values
- SG = No. 12
- magnetic moment (μB/f.u.) = 0.00
- formation energy from raw total energies (kcal/mol of atoms) = -18.27
- ρ (g cm⁻³) = 6.3
- DFT total energy (eV per atom) = -5.2605

Cell lengths 7.2783, 7.2783, 8.5865 Å; angles 98.09, 98.09, 120.07 degrees
Closest atoms and distances in Å follow each position.
Fractional coordinates of all 12 atoms:
Pd 0.0000 0.0000 0.0000  6 La 2.97
I 0.1652 0.8348 0.5000  6 La 3.48-3.61
I 0.8348 0.1652 0.5000  6 La 3.48-3.61
I 0.5000 0.5000 0.5000  6 La 3.47-3.60
La 0.2898 0.2898 0.8164  2 Co 2.81, 1 Pd 2.97
La 0.5870 0.9380 0.8159  2 Co 2.80-2.81, 1 Pd 2.97
La 0.0620 0.4130 0.1841  2 Co 2.80-2.81, 1 Pd 2.97
La 0.4130 0.0620 0.1841  2 Co 2.80-2.81, 1 Pd 2.97
La 0.9380 0.5870 0.8159  2 Co 2.80-2.81, 1 Pd 2.97
La 0.7102 0.7102 0.1836  2 Co 2.81, 1 Pd 2.97
Co 0.6668 0.3332 0.0000  6 La 2.80-2.81
Co 0.3332 0.6668 0.0000  6 La 2.80-2.81



Material: ZnGa2O
Method: DFT, PBE
State: relaxed

Calculated values
- SG = No. 122
- magnetic moment (μB/f.u.) = 0.00
- energy above the lowest structure with this stoichiometry (eV per atom) = 0.000
- formation energy from raw total energies (kcal/mol of atoms) = -10.08
- ρ (g cm⁻³) = 5.1
- DFT total energy (eV per atom) = -3.5084

Cell lengths 5.6196, 5.6196, 6.0278 Å; angles 62.22, 62.22, 90.00 degrees
Closest atoms and distances in Å follow each position.
Fractional coordinates of all 8 atoms:
Ga 0.5628 0.1250 0.2500  2 O 2.09
Ga 0.1872 0.6250 0.2500  2 O 2.09
Ga 0.8750 0.8128 0.7500  2 O 2.09
Ga 0.3750 0.4372 0.7500  2 O 2.09
O 0.5000 0.5000 0.0000  4 Ga 2.09
O 0.2500 0.7500 0.5000  4 Ga 2.09
Zn 0.7500 0.2500 0.5000  4 Ga 2.52
Zn 0.0000 0.0000 0.0000  4 Ga 2.52



Material: Re2HgTe
Method: DFT, PBE
State: relaxed

Calculated values
- SG = No. 166
- magnetic moment (μB/f.u.) = 0.00
- energy above the lowest structure with this stoichiometry (eV per atom) = 0.583
- formation energy from raw total energies (kcal/mol of atoms) = 21.88
- ρ (g cm⁻³) = 16.1
- DFT total energy (eV per atom) = -6.1363

Cell lengths 8.9921, 8.9921, 8.9921 Å; angles 19.70, 19.70, 19.70 degrees
Closest atoms and distances in Å follow each position.
Fractional coordinates of all 4 atoms:
Hg 0.7500 0.7500 0.7500  6 Re 2.96, 6 Hg 3.08
Te 0.2500 0.2500 0.2500  6 Re 2.71
Re 0.9939 0.9939 0.9939  3 Te 2.71, 3 Hg 2.96
Re 0.5061 0.5061 0.5061  3 Te 2.71, 3 Hg 2.96



Material: LaOsSe2
Method: DFT, PBE
State: relaxed

Calculated values
- SG = No. 38
- magnetic moment (μB/f.u.) = 0.00
- energy above the lowest structure with this stoichiometry (eV per atom) = 0.107
- formation energy from raw total energies (kcal/mol of atoms) = -13.70
- ρ (g cm⁻³) = 8.1
- DFT total energy (eV per atom) = -6.3756

Cell lengths 4.4316, 4.1254, 5.8069 Å; angles 69.20, 90.00, 90.00 degrees
Closest atoms and distances in Å follow each position.
Fractional coordinates of all 4 atoms:
La 0.0000 0.5700 0.4850  7 Se 3.08-3.15, 4 Os 3.41
Se 0.5000 0.1510 0.3235  1 Os 2.45
Se 0.0000 0.8535 0.9174  2 Os 2.35
Os 0.5000 0.9256 0.7741  3 Se 2.35-2.45



Material: Tl6HgO2
Method: DFT, PBE
State: relaxed

Calculated values
- SG = No. 15
- magnetic moment (μB/f.u.) = 0.00
- formation energy from raw total energies (kcal/mol of atoms) = -7.61
- ρ (g cm⁻³) = 9.6
- DFT total energy (eV per atom) = -3.0431

Cell lengths 6.0296, 9.2923, 9.2923 Å; angles 83.01, 80.29, 80.29 degrees
Closest atoms and distances in Å follow each position.
Fractional coordinates of all 18 atoms:
Tl 0.7223 0.2462 0.0105  1 O 2.39
Tl 0.0415 0.3004 0.5583  1 O 2.35
Tl 0.1578 0.4025 0.1520  2 O 2.38-2.43
Tl 0.8422 0.5975 0.8480  2 O 2.38-2.43
Tl 0.2777 0.7538 0.9895  1 O 2.39
Tl 0.4585 0.4417 0.6996  1 O 2.35
Tl 0.9585 0.6996 0.4417  1 O 2.35
Tl 0.6578 0.1520 0.4025  2 O 2.38-2.43
Tl 0.5415 0.5583 0.3004  1 O 2.35
Tl 0.7777 0.9895 0.7538  1 O 2.39
Tl 0.2223 0.0105 0.2462  1 O 2.39
Tl 0.3422 0.8480 0.5975  2 O 2.38-2.43
O 0.2186 0.6530 0.7772  4 Tl 2.35-2.43
O 0.2814 0.2228 0.3470  4 Tl 2.35-2.43
O 0.7186 0.7772 0.6530  4 Tl 2.35-2.43
O 0.7814 0.3470 0.2228  4 Tl 2.35-2.43
Hg 0.7500 0.8754 0.1246  6 Tl 3.28-3.51
Hg 0.2500 0.1246 0.8754  6 Tl 3.28-3.51



Material: TaCrAsBr2
Method: DFT, PBE
State: relaxed

Calculated values
- SG = No. 123
- magnetic moment (μB/f.u.) = 5.25
- energy above the lowest structure with this stoichiometry (eV per atom) = 0.000
- formation energy from raw total energies (kcal/mol of atoms) = 10.12
- ρ (g cm⁻³) = 5.8
- DFT total energy (eV per atom) = -5.4555

Cell lengths 5.1332, 5.1332, 5.0940 Å; angles 90.00, 90.00, 90.00 degrees
Closest atoms and distances in Å follow each position.
Fractional coordinates of all 5 atoms:
Br 0.5000 0.0000 0.0000  2 Ta 2.57
Br 0.0000 0.5000 0.0000  2 Ta 2.57
Cr 0.5000 0.5000 0.5000  8 Br 3.62, 4 As 3.63
As 0.0000 0.0000 0.5000  2 Ta 2.55
Ta 0.0000 0.0000 0.0000  2 As 2.55, 4 Br 2.57



Material: NbGaPt2
Method: DFT, PBE
State: relaxed

Calculated values
- SG = No. 123
- magnetic moment (μB/f.u.) = 0.00
- formation enthalpy at 0 K (eV/atom) = -0.597
- ρ (g cm⁻³) = 14.4
- DFT total energy (eV per atom) = -6.8916

Cell lengths 2.8954, 2.8954, 7.5794 Å; angles 90.00, 90.00, 90.00 degrees
Closest atoms and distances in Å follow each position.
Fractional coordinates of all 4 atoms:
Pt 0.0000 0.0000 0.2365  4 Ga 2.72, 4 Nb 2.86, 4 Pt 2.90
Pt 0.0000 0.0000 0.7635  4 Ga 2.72, 4 Nb 2.86, 4 Pt 2.90
Ga 0.5000 0.5000 0.0000  8 Pt 2.72, 4 Ga 2.90
Nb 0.5000 0.5000 0.5000  8 Pt 2.86, 4 Nb 2.90



Material: MnTl3V2Te6
Method: DFT, PBE
State: relaxed

Calculated values
- SG = No. 12
- magnetic moment (μB/f.u.) = 8.22
- formation energy from raw total energies (kcal/mol of atoms) = -6.29
- ρ (g cm⁻³) = 7.3
- DFT total energy (eV per atom) = -4.7192

Cell lengths 7.0151, 7.0151, 10.8246 Å; angles 110.12, 110.12, 118.16 degrees
Closest atoms and distances in Å follow each position.
Fractional coordinates of all 12 atoms:
Mn 0.0000 0.0000 0.0000  6 Te 2.75-2.86
Te 0.1276 0.1276 0.8003  2 V 2.73, 1 Mn 2.86
Te 0.8238 0.4868 0.8223  1 Mn 2.75, 2 V 2.81-2.85
Te 0.4868 0.8238 0.8223  1 Mn 2.75, 2 V 2.81-2.85
Te 0.5132 0.1762 0.1777  1 Mn 2.75, 2 V 2.81-2.85
Te 0.8724 0.8724 0.1997  2 V 2.73, 1 Mn 2.86
Te 0.1762 0.5132 0.1777  1 Mn 2.75, 2 V 2.81-2.85
V 0.6521 0.3479 0.0000  6 Te 2.73-2.85
V 0.3479 0.6521 0.0000  6 Te 2.73-2.85
Tl 0.5000 0.5000 0.5000  6 Te 3.37-3.51
Tl 0.1727 0.8273 0.5000  6 Te 3.42-3.52
Tl 0.8273 0.1727 0.5000  6 Te 3.42-3.52



Material: HoTm2AlN
Method: DFT, PBE
State: relaxed

Calculated values
- SG = No. 123
- magnetic moment (μB/f.u.) = 0.00
- formation energy from raw total energies (kcal/mol of atoms) = -21.86
- ρ (g cm⁻³) = 8.7
- DFT total energy (eV per atom) = -6.0657

Cell lengths 4.7416, 4.6887, 4.6887 Å; angles 90.00, 90.00, 90.00 degrees
Closest atoms and distances in Å follow each position.
Fractional coordinates of all 5 atoms:
Ho 0.5000 0.0000 0.0000  2 N 2.37
Tm 0.0000 0.5000 0.0000  2 N 2.34
Tm 0.0000 0.0000 0.5000  2 N 2.34
Al 0.5000 0.5000 0.5000  4 Ho 3.32, 8 Tm 3.33
N 0.0000 0.0000 0.0000  4 Tm 2.34, 2 Ho 2.37



Material: TbMgScHg
Method: DFT, PBE
State: relaxed

Calculated values
- SG = No. 216
- magnetic moment (μB/f.u.) = 0.36
- formation enthalpy at 0 K (eV/atom) = -0.244
- energy above the lowest structure with this stoichiometry (eV per atom) = 0.012
- ρ (g cm⁻³) = 7.3
- DFT total energy (eV per atom) = -3.4586

Cell lengths 5.1631, 5.1631, 5.1631 Å; angles 60.00, 60.00, 60.00 degrees
Closest atoms and distances in Å follow each position.
Fractional coordinates of all 4 atoms:
Sc 0.2500 0.2500 0.2500  4 Hg 3.16, 4 Mg 3.16
Tb 0.7500 0.7500 0.7500  4 Hg 3.16, 4 Mg 3.16
Hg 0.5000 0.5000 0.5000  4 Tb 3.16, 4 Sc 3.16
Mg 0.0000 0.0000 0.0000  4 Tb 3.16, 4 Sc 3.16



Material: DyGaHg2
Method: DFT, PBE
State: relaxed

Calculated values
- SG = No. 123
- magnetic moment (μB/f.u.) = 0.00
- formation enthalpy at 0 K (eV/atom) = -0.256
- ρ (g cm⁻³) = 11.2
- DFT total energy (eV per atom) = -2.3141

Cell lengths 3.7727, 3.7727, 6.6244 Å; angles 90.00, 90.00, 90.00 degrees
Closest atoms and distances in Å follow each position.
Fractional coordinates of all 4 atoms:
Hg 0.0000 0.0000 0.7390  4 Ga 3.10, 2 Hg 3.17-3.46, 4 Dy 3.18
Hg 0.0000 0.0000 0.2610  4 Ga 3.10, 2 Hg 3.17-3.46, 4 Dy 3.18
Ga 0.5000 0.5000 0.5000  8 Hg 3.10, 2 Dy 3.31
Dy 0.5000 0.5000 0.0000  8 Hg 3.18, 2 Ga 3.31